(1)
TaBMo after structural relaxation. Source: the Alexandria database, functional GGA-PBE.

DFT total energy	-183.98	eV/cell
Fermi-level density of states	0.466	states/eV/atom
ρ	12.1	g/cm³

abc: 3.241 6.651 10.961
angles: 90.00 90.00 90.00
Fractional coordinates of all 18 atoms:
B 0.500 0.061 0.091
B 0.000 0.443 0.750
B 0.500 0.939 0.909
B 0.500 0.061 0.409
B 0.000 0.557 0.250
B 0.500 0.939 0.591
Ta 0.000 0.207 0.550
Ta 0.000 0.207 0.950
Ta 0.000 0.793 0.450
Ta 0.000 0.841 0.750
Ta 0.000 0.793 0.050
Ta 0.000 0.159 0.250
Mo 0.500 0.438 0.115
Mo 0.500 0.562 0.885
Mo 0.500 0.562 0.615
Mo 0.500 0.810 0.250
Mo 0.500 0.438 0.385
Mo 0.500 0.190 0.750

(2)
HoZrIr2 after structural relaxation. Source: the Alexandria database, functional GGA-PBE.

DFT total energy	-34.03	eV/cell
Fermi-level density of states	0.663	states/eV/atom
ρ	14.0	g/cm³

abc: 4.751 4.751 4.751
angles: 60.00 60.00 60.00
Fractional coordinates of all 4 atoms:
Ir 0.250 0.250 0.250
Ir 0.750 0.750 0.750
Ho 0.500 0.500 0.500
Zr 0.000 0.000 0.000

(3)
GaFe2RePb after structural relaxation. Source: the Alexandria database, functional GGA-PBE.

DFT total energy	-29.72	eV/cell
Fermi-level density of states	1.451	states/eV/atom
ρ	8.2	g/cm³

abc: 4.706 5.284 4.706
angles: 90.00 90.00 90.00
Site moments in Bohr magnetons follow the coordinates.
Fractional coordinates of all 5 atoms:
Pb 0.000 0.500 0.000  0.05
Re 0.000 0.000 0.000  -0.06
Fe 0.000 0.000 0.500  2.94
Fe 0.500 0.000 0.000  2.63
Ga 0.500 0.500 0.500  0.00

(4)
CaTeHPd2 after structural relaxation. Source: the Alexandria database, functional GGA-PBE.

DFT total energy	-21.56	eV/cell
Fermi-level density of states	0.409	states/eV/atom
ρ	7.6	g/cm³

abc: 4.244 4.244 4.630
angles: 90.00 90.00 90.00
Fractional coordinates of all 5 atoms:
Te 0.500 0.500 0.500
Pd 0.000 0.500 0.000
Pd 0.500 0.000 0.000
Ca 0.000 0.000 0.500
H 0.000 0.000 0.000

(5)
EuEr2Zn after structural relaxation. Source: the Alexandria database, functional GGA-PBE.

DFT total energy	-20.78	eV/cell
Fermi-level density of states	0.787	states/eV/atom
ρ	7.8	g/cm³

abc: 3.602 3.602 10.718
angles: 80.33 80.33 60.00
Site moments in Bohr magnetons follow the coordinates.
Fractional coordinates of all 4 atoms:
Er 0.735 0.735 0.794  0.09
Er 0.265 0.265 0.206  0.09
Zn 0.000 0.000 0.000  -0.01
Eu 0.500 0.500 0.500  7.00

(6)
TbNd4Er7 after structural relaxation. Source: the Alexandria database, functional GGA-PBE.

DFT total energy	-52.41	eV/cell
Fermi-level density of states	1.667	states/eV/atom
ρ	7.9	g/cm³

abc: 5.885 11.665 6.725
angles: 83.55 64.05 75.39
Fractional coordinates of all 12 atoms:
Er 0.500 0.000 0.000
Er 0.212 0.076 0.500
Er 0.788 0.924 0.500
Er 0.368 0.494 0.770
Er 0.930 0.310 0.829
Er 0.632 0.506 0.230
Er 0.070 0.690 0.171
Tb 0.000 0.000 0.000
Nd 0.360 0.777 0.502
Nd 0.780 0.664 0.776
Nd 0.640 0.223 0.498
Nd 0.220 0.336 0.224

(7)
LaSmPu2 after structural relaxation. Source: the Alexandria database, functional GGA-PBE.

DFT total energy	-37.45	eV/cell
Fermi-level density of states	3.690	states/eV/atom
ρ	10.6	g/cm³

abc: 3.485 3.485 10.038
angles: 90.00 90.00 90.00
Site moments in Bohr magnetons follow the coordinates.
Fractional coordinates of all 4 atoms:
Sm 0.500 0.500 0.500  0.12
Pu 0.000 0.000 0.251  5.54
Pu 0.000 0.000 0.749  5.54
La 0.500 0.500 0.000  0.14

(8)
Cr2AgOs2 after structural relaxation. Source: the Alexandria database, functional GGA-PBE.

DFT total energy	-85.97	eV/cell
Fermi-level density of states	0.859	states/eV/atom
ρ	13.5	g/cm³

abc: 7.364 7.364 2.690
angles: 90.00 90.00 90.00
Fractional coordinates of all 10 atoms:
Os 0.367 0.867 0.000
Os 0.133 0.367 0.000
Os 0.633 0.133 0.000
Os 0.867 0.633 0.000
Ag 0.500 0.500 0.000
Ag 0.000 0.000 0.000
Cr 0.841 0.341 0.500
Cr 0.341 0.159 0.500
Cr 0.159 0.659 0.500
Cr 0.659 0.841 0.500

(9)
TlMo3P after structural relaxation. Source: the Alexandria database, functional GGA-PBE.

DFT total energy	-26.12	eV/cell
Fermi-level density of states	0.951	states/eV/atom
ρ	6.1	g/cm³

abc: 5.223 5.223 5.223
angles: 90.00 90.00 90.00
Site moments in Bohr magnetons follow the coordinates.
Fractional coordinates of all 5 atoms:
Mo 0.500 0.000 0.000  2.65
Mo 0.000 0.000 0.500  3.31
Mo 0.000 0.500 0.000  2.96
P 0.500 0.500 0.500  -0.35
Tl 0.000 0.000 0.000  -0.01